Here is a geometry-optimized NdGe2 structure from the Open Quantum Materials Database. Energies are from GGA-PBE.

The mass density comes out at 1.554 g/cm³. The total energy is -79.10 eV/cell. The volume is 2475.2 Å³ per cell. The value obtained for the total moment is 2.3 μB/f.u.

The structure belongs to space group Fd-3m (No. 227, origin choice 2); the cell edges are 13.527, 13.527 and 13.527 Å and the angles 90.00°, 90.00° and 90.00°. The inequivalent atoms are Nd at (0.125, 0.125, 0.125) and Ge at (0.000, 0.000, 0.000).

=====

Here is a geometry-optimized Nd2Ge structure from the Open Quantum Materials Database. Energies are from GGA-PBE.

The mass density comes out at 6.549 g/cm³. The energy above the most stable polymorph in this dataset is 0.069 eV/atom. The total energy is -63.00 eV/cell. The volume is 366.3 Å³ per cell. The value obtained for the total moment is 0.0 μB/f.u.

The structure belongs to space group Fm-3m (No. 225); the cell edges are 7.155, 7.155 and 7.155 Å and the angles 90.00°, 90.00° and 90.00°. The inequivalent atoms are Nd at (0.250, 0.250, 0.250) and Ge at (0.000, 0.000, 0.000).

=====

Here is a geometry-optimized NdGe2 structure from the Open Quantum Materials Database. Energies are from GGA-PBE.

The mass density comes out at 6.824 g/cm³. The total energy is -63.37 eV/cell. The volume is 281.8 Å³ per cell. The value obtained for the total moment is 0.0 μB/f.u.

The structure belongs to space group I4_1/amd (No. 141, origin choice 2); the cell edges are 4.161, 4.161 and 16.275 Å and the angles 90.00°, 90.00° and 90.00°. The inequivalent atoms are Nd at (0.000, 0.250, 0.375) and Ge at (0.000, 0.250, 0.795).

=====

Here is a geometry-optimized NdGe2 structure from the Open Quantum Materials Database. Energies are from GGA-PBE.

The mass density comes out at 5.842 g/cm³. The total energy is -56.80 eV/cell. The volume is 329.1 Å³ per cell. The value obtained for the total moment is 0.0 μB/f.u.

The structure belongs to space group Fm-3m (No. 225); the cell edges are 6.904, 6.904 and 6.904 Å and the angles 90.00°, 90.00° and 90.00°. The inequivalent atoms are Nd at (0.000, 0.000, 0.000) and Ge at (0.250, 0.250, 0.250).

=====

Question: total moment of number 3 (NdGe2)?
Answer: 0.0 μB/f.u.